# 1
## TlZn2In (PBE-GGA)

Data for TlZn2In after structural relaxation.

a = 3.4696 Å, b = 3.4696 Å, c = 26.0910 Å
α = 90.00°, β = 90.00°, γ = 120.00°
Space group R-3m (No. 166, hexagonal axes)
Unique sites:
Tl 0.0000 0.0000 0.0000 x3
Zn 0.0000 0.0000 0.2478 x6
In 0.0000 0.0000 0.5000 x3

Magnetic moment, μB/f.u.: 0.00
Electronic total energy, eV per formula unit: -7.02
Energy of formation from the pure elements, eV per atom: 0.158

---

# 2
## TlZn2In (PBE-GGA)

Data for TlZn2In after structural relaxation.

a = 3.250 Å, b = 4.175 Å, c = 6.751 Å
α = 90.00°, β = 98.67°, γ = 90.00°
Space group P2/m (No. 10)
Unique sites:
Tl 0.000 0.000 0.000 x1
Zn 0.473 0.500 0.275 x2
In 0.000 0.000 0.500 x1

Magnetic moment, μB/f.u.: 0.00
Electronic total energy, eV per formula unit: -6.98
Energy of formation from the pure elements, eV per atom: 0.169